A relaxed SeIO crystal. Source: Alexandria, functional GGA-PBE.

Summary:
E_form (uncorrected) (meV/atom): -210

a b c (Å): 4.839 6.359 7.275
angles (deg): 98.57 97.76 105.90
Space group P-1 (No. 2)
Inequivalent atoms, fractional coordinates:
Se (0.179, 0.037, 0.331) (multiplicity 2)
I (0.034, 0.689, 0.837) (multiplicity 2)
O (0.275, 0.150, 0.562) (multiplicity 2)



A relaxed SeIO2 crystal. Source: Alexandria, functional GGA-PBE.

Summary:
E_form (uncorrected) (meV/atom): 347

a b c (Å): 3.1962 3.1962 22.8427
angles (deg): 90.00 90.00 120.00
Space group R-3m (No. 166, hexagonal axes)
Inequivalent atoms, fractional coordinates:
Se (0.0000, 0.0000, 0.0000) (multiplicity 3)
I (0.0000, 0.0000, 0.5000) (multiplicity 3)
O (0.0000, 0.0000, 0.0792) (multiplicity 6)



A relaxed SeI2O2 crystal. Source: Alexandria, functional GGA-PBE.

Summary:
E_form (uncorrected) (meV/atom): 169

a b c (Å): 4.080 4.080 8.594
angles (deg): 90.00 90.00 90.00
Space group P4/mmm (No. 123)
Inequivalent atoms, fractional coordinates:
Se (0.000, 0.000, 0.000) (multiplicity 1)
I (0.500, 0.500, 0.000) (multiplicity 1)
I (0.500, 0.500, 0.500) (multiplicity 1)
O (0.000, 0.500, 0.500) (multiplicity 2)



A relaxed SeIO2 crystal. Source: Alexandria, functional GGA-PBE.

Summary:
E_form (uncorrected) (meV/atom): 921

a b c (Å): 6.106 6.106 6.106
angles (deg): 90.00 90.00 90.00
Space group Fm-3m (No. 225)
Inequivalent atoms, fractional coordinates:
Se (0.000, 0.000, 0.000) (multiplicity 4)
I (0.000, 0.000, 0.500) (multiplicity 4)
O (0.250, 0.250, 0.250) (multiplicity 8)



A relaxed SeIO crystal. Source: Alexandria, functional GGA-PBE.

Summary:
E_form (uncorrected) (meV/atom): -211

a b c (Å): 4.192 6.858 7.876
angles (deg): 106.84 95.66 96.97
Space group P-1 (No. 2)
Inequivalent atoms, fractional coordinates:
Se (0.104, 0.488, 0.306) (multiplicity 2)
I (0.156, 0.220, 0.776) (multiplicity 2)
O (0.196, 0.656, 0.636) (multiplicity 2)



A relaxed SeIO5 crystal. Source: Alexandria, functional GGA-PBE.

Summary:
E_form (uncorrected) (meV/atom): -291

a b c (Å): 5.635 6.234 7.610
angles (deg): 78.08 74.07 87.41
Space group P1 (No. 1)
Inequivalent atoms, fractional coordinates:
Se (0.000, 0.000, 0.000) (multiplicity 1)
Se (0.189, 0.668, 0.511) (multiplicity 1)
I (0.582, 0.832, 0.763) (multiplicity 1)
I (0.609, 0.313, 0.284) (multiplicity 1)
O (0.251, 0.425, 0.436) (multiplicity 1)
O (0.286, 0.889, 0.355) (multiplicity 1)
O (0.309, 0.645, 0.703) (multiplicity 1)
O (0.314, 0.044, 0.886) (multiplicity 1)
O (0.542, 0.622, 0.966) (multiplicity 1)
O (0.651, 0.117, 0.492) (multiplicity 1)
O (0.861, 0.040, 0.822) (multiplicity 1)
O (0.879, 0.635, 0.606) (multiplicity 1)
O (0.928, 0.768, 0.145) (multiplicity 1)
O (0.955, 0.231, 0.095) (multiplicity 1)